# 1
Below is a relaxed structure of Sn3WBr, with properties calculated at the PBE-GGA level.

```
data_Sn3WBr
_chemical_formula_sum 'Sn3 W1 Br1'
_cell_length_a 5.298
_cell_length_b 5.298
_cell_length_c 5.298
_cell_angle_alpha 90.00
_cell_angle_beta 90.00
_cell_angle_gamma 90.00
_symmetry_space_group_name_H-M 'P m -3 m'
_symmetry_Int_Tables_number 221
_symmetry_space_group_name_Hall '-P 4 2 3'
loop_
_atom_site_label
_atom_site_fract_x
_atom_site_fract_y
_atom_site_fract_z
Sn1 0.000 0.000 0.500
W1 0.000 0.000 0.000
Br1 0.500 0.500 0.500
```

ΔE_f (raw), eV per atom: 0.17

# 2
Below is a relaxed structure of RbAg3Te, with properties calculated at the PBE-GGA level.

```
data_RbAg3Te
_chemical_formula_sum 'Rb1 Ag3 Te1'
_cell_length_a 5.617
_cell_length_b 5.617
_cell_length_c 5.617
_cell_angle_alpha 90.00
_cell_angle_beta 90.00
_cell_angle_gamma 90.00
_symmetry_space_group_name_H-M 'P m -3 m'
_symmetry_Int_Tables_number 221
_symmetry_space_group_name_Hall '-P 4 2 3'
loop_
_atom_site_label
_atom_site_fract_x
_atom_site_fract_y
_atom_site_fract_z
Rb1 0.000 0.000 0.000
Ag1 0.000 0.500 0.500
Te1 0.500 0.500 0.500
```

ΔE_f (raw), eV per atom: 0.17

# 3
Below is a relaxed structure of Mn2BeCo2, with properties calculated at the PBE-GGA level.

```
data_Mn2BeCo2
_chemical_formula_sum 'Mn4 Be2 Co4'
_cell_length_a 6.670
_cell_length_b 6.670
_cell_length_c 2.450
_cell_angle_alpha 90.00
_cell_angle_beta 90.00
_cell_angle_gamma 90.00
_symmetry_space_group_name_H-M 'P 4/m b m'
_symmetry_Int_Tables_number 127
_symmetry_space_group_name_Hall '-P 4 2ab'
loop_
_atom_site_label
_atom_site_fract_x
_atom_site_fract_y
_atom_site_fract_z
Mn1 0.175 0.325 0.000
Be1 0.000 0.000 0.500
Co1 0.123 0.623 0.500
```

ΔE_f, kJ/mol of atoms: 28.6

# 4
Below is a relaxed structure of Hf3AsP, with properties calculated at the PBE-GGA level.

```
data_Hf3AsP
_chemical_formula_sum 'Hf3 As1 P1'
_cell_length_a 4.799
_cell_length_b 4.799
_cell_length_c 4.799
_cell_angle_alpha 90.00
_cell_angle_beta 90.00
_cell_angle_gamma 90.00
_symmetry_space_group_name_H-M 'P m -3 m'
_symmetry_Int_Tables_number 221
_symmetry_space_group_name_Hall '-P 4 2 3'
loop_
_atom_site_label
_atom_site_fract_x
_atom_site_fract_y
_atom_site_fract_z
Hf1 0.000 0.000 0.500
As1 0.500 0.500 0.500
P1 0.000 0.000 0.000
```

ΔE_f, kJ/mol of atoms: -3.5

# 5
Below is a relaxed structure of Tm2PuPt, with properties calculated at the PBE-GGA level.

```
data_Tm2PuPt
_chemical_formula_sum 'Tm6 Pu3 Pt3'
_cell_length_a 3.7067
_cell_length_b 3.7067
_cell_length_c 27.9972
_cell_angle_alpha 90.00
_cell_angle_beta 90.00
_cell_angle_gamma 120.00
_symmetry_space_group_name_H-M 'R -3 m'
_symmetry_Int_Tables_number 166
_symmetry_space_group_name_Hall '-R 3 2"'
loop_
_atom_site_label
_atom_site_fract_x
_atom_site_fract_y
_atom_site_fract_z
Tm1 0.0000 0.0000 0.2302
Pu1 0.0000 0.0000 0.0000
Pt1 0.0000 0.0000 0.5000
```

ΔE_f, kJ/mol of atoms: -39.5

# 6
Below is a relaxed structure of TlReSi2, with properties calculated at the PBE-GGA level.

```
data_TlReSi2
_chemical_formula_sum 'Tl2 Re2 Si4'
_cell_length_a 4.234
_cell_length_b 4.234
_cell_length_c 7.441
_cell_angle_alpha 90.00
_cell_angle_beta 90.00
_cell_angle_gamma 90.00
_symmetry_space_group_name_H-M 'I 4/m m m'
_symmetry_Int_Tables_number 139
_symmetry_space_group_name_Hall '-I 4 2'
loop_
_atom_site_label
_atom_site_fract_x
_atom_site_fract_y
_atom_site_fract_z
Tl1 0.000 0.000 0.000
Re1 0.000 0.000 0.500
Si1 0.000 0.500 0.250
```

ΔE_f (raw), eV per atom: 0.87

no.,relative energy among the computed polymorphs (kJ/mol of atoms),total energy (eV per cell)
1,0.0,-25.8
2,0.0,-11.8
3,0.0,-69.6
4,24.6,-40.1
5,15.2,-92.9
6,67.7,-44.4